A plane-wave DFT calculation with PBE was carried out for NaThSe after structural relaxation.

Computed properties:
electronic total energy: -29.74 eV/cell
M_tot: 0.000 μB per atom
raw formation energy: -0.8826 eV/atom

abc: 4.1249 4.1249 12.8230
angles: 108.49 108.49 90.01
Last column: nearest neighbours and their distance in Å.
Positions (direct):
Th (0.6358, 0.6358, 0.8856)  5 Se 2.94-3.02
Th (0.3642, 0.3642, 0.1144)  5 Se 2.94-3.02
Na (0.8415, 0.8415, 0.5929)  1 Se 2.95
Na (0.1585, 0.1585, 0.4071)  1 Se 2.95
Se (0.1013, 0.1013, 0.8506)  5 Th 2.94-3.02, 1 Na 2.95
Se (0.8987, 0.8987, 0.1494)  5 Th 2.94-3.02, 1 Na 2.95

=====

A plane-wave DFT calculation with PBE was carried out for NaTh3Se6 after structural relaxation.

Computed properties:
electronic total energy: -121.59 eV/cell
excess energy over the best structure of this formula in the dataset: 0 meV/atom
M_tot: 0.000 μB per atom
raw formation energy: -1.6308 eV/atom

abc: 7.2759 8.9837 8.9837
angles: 102.13 90.00 90.00
Last column: nearest neighbours and their distance in Å.
Positions (direct):
Se (0.1298, 0.7619, 0.2381)  1 Na 2.78, 3 Th 2.88-2.92
Se (0.2187, 0.0911, 0.5506)  1 Na 2.91, 3 Th 2.93-3.01
Se (0.2187, 0.4494, 0.9089)  1 Na 2.91, 3 Th 2.93-3.01
Se (0.2304, 0.0079, 0.9921)  2 Na 2.92-3.21, 4 Th 3.00-3.09
Se (0.6764, 0.3039, 0.3685)  4 Th 3.00-3.05
Se (0.6298, 0.2381, 0.7619)  1 Na 2.78, 3 Th 2.88-2.92
Se (0.7304, 0.9921, 0.0079)  2 Na 2.92-3.21, 4 Th 3.00-3.09
Se (0.6764, 0.6315, 0.6961)  4 Th 3.00-3.05
Se (0.7187, 0.5506, 0.0911)  1 Na 2.91, 3 Th 2.93-3.01
Se (0.1764, 0.6961, 0.6315)  4 Th 3.00-3.05
Se (0.1764, 0.3685, 0.3039)  4 Th 3.00-3.05
Se (0.7187, 0.9089, 0.4494)  1 Na 2.91, 3 Th 2.93-3.01
Th (0.9819, 0.7225, 0.9302)  7 Se 2.92-3.09
Th (0.4819, 0.9302, 0.7225)  7 Se 2.92-3.09
Th (0.3777, 0.3968, 0.6032)  7 Se 2.88-3.03
Th (0.9819, 0.0698, 0.2775)  7 Se 2.92-3.09
Th (0.4819, 0.2775, 0.0698)  7 Se 2.92-3.09
Th (0.8777, 0.6032, 0.3968)  7 Se 2.88-3.03
Na (0.9936, 0.1768, 0.8232)  4 Se 2.78-2.92
Na (0.4936, 0.8232, 0.1768)  4 Se 2.78-2.92

=====

A plane-wave DFT calculation with PBE was carried out for Na4ThSe4 after structural relaxation.

Computed properties:
electronic total energy: -37.07 eV/cell
excess energy over the best structure of this formula in the dataset: 180 meV/atom
M_tot: 0.000 μB per atom
raw formation energy: -1.1595 eV/atom

abc: 7.2224 7.2224 8.0681
angles: 116.59 116.59 90.00
Last column: nearest neighbours and their distance in Å.
Positions (direct):
Se (0.6518, 0.6518, 0.7527)  1 Th 2.76, 3 Na 2.98-3.00
Se (0.1009, 0.1009, 0.7527)  1 Th 2.76, 3 Na 2.98-3.00
Se (0.8991, 0.3482, 0.2473)  1 Th 2.76, 3 Na 2.98-3.00
Se (0.3482, 0.8991, 0.2473)  1 Th 2.76, 3 Na 2.98-3.00
Na (0.7029, 0.7029, 0.4057)  4 Se 2.98-3.16
Na (0.2971, 0.2971, 0.5943)  4 Se 2.98-3.16
Na (0.0000, 0.5000, 0.0000)  4 Se 3.00
Na (0.5000, 0.0000, 0.0000)  4 Se 3.00
Th (0.0000, 0.0000, 0.0000)  4 Se 2.76

=====

A plane-wave DFT calculation with PBE was carried out for NaThSe2 after structural relaxation.

Computed properties:
electronic total energy: -86.51 eV/cell
M_tot: 0.000 μB per atom
raw formation energy: -1.4799 eV/atom

abc: 7.2649 7.4748 9.3730
angles: 105.75 104.87 109.17
Last column: nearest neighbours and their distance in Å.
Positions (direct):
Se (0.0534, 0.3002, 0.1222)  3 Th 2.98-2.99, 3 Na 3.01-3.03
Se (0.5688, 0.8220, 0.1222)  3 Th 2.98-2.99, 3 Na 3.01-3.03
Se (0.4312, 0.1780, 0.8778)  3 Th 2.98-2.99, 3 Na 3.01-3.03
Se (0.1899, 0.9365, 0.3760)  3 Th 2.93-3.02, 3 Na 2.98-3.02
Se (0.3139, 0.5606, 0.6240)  3 Th 2.93-3.02, 3 Na 2.98-3.02
Se (0.6861, 0.4394, 0.3760)  3 Th 2.93-3.02, 3 Na 2.98-3.02
Se (0.8101, 0.0635, 0.6240)  3 Th 2.93-3.02, 3 Na 2.98-3.02
Se (0.9466, 0.6998, 0.8778)  3 Th 2.98-2.99, 3 Na 3.01-3.03
Th (0.0589, 0.8089, 0.6177)  6 Se 2.94-3.02
Th (0.9411, 0.1911, 0.3823)  6 Se 2.94-3.02
Th (0.3181, 0.0681, 0.1362)  6 Se 2.93-2.98
Th (0.6819, 0.9319, 0.8638)  6 Se 2.93-2.98
Na (0.8106, 0.5606, 0.1211)  6 Se 3.01-3.03
Na (0.4341, 0.6841, 0.3682)  6 Se 2.98-3.02
Na (0.1894, 0.4394, 0.8789)  6 Se 3.01-3.03
Na (0.5659, 0.3159, 0.6318)  6 Se 2.98-3.02

=====

A plane-wave DFT calculation with PBE was carried out for NaThSe2 after structural relaxation.

Computed properties:
electronic total energy: -21.52 eV/cell
M_tot: 0.000 μB per atom
raw formation energy: -1.4536 eV/atom

abc: 4.1137 4.1137 7.9243
angles: 74.96 74.96 60.00
Last column: nearest neighbours and their distance in Å.
Positions (direct):
Se (0.2546, 0.2546, 0.2361)  3 Th 2.98, 3 Na 3.14
Se (0.0806, 0.0806, 0.7581)  3 Th 2.98, 3 Na 3.03
Na (0.4971, 0.4971, 0.5086)  6 Se 3.03-3.14
Th (0.6676, 0.6676, 0.9972)  6 Se 2.98

=====

A plane-wave DFT calculation with PBE was carried out for NaTh3Se6 after structural relaxation.

Computed properties:
electronic total energy: -120.82 eV/cell
excess energy over the best structure of this formula in the dataset: 38 meV/atom
M_tot: 0.087 μB per atom
raw formation energy: -1.5927 eV/atom

abc: 4.3257 11.8060 12.4842
angles: 109.07 90.00 90.00
Last column: nearest neighbours and their distance in Å.
Positions (direct):
Th (0.7500, 0.6969, 0.5113)  7 Se 2.91-3.11
Th (0.7500, 0.4952, 0.8270)  7 Se 2.91-3.23
Th (0.2500, 0.8341, 0.9312)  6 Se 2.86-2.96
Th (0.7500, 0.1659, 0.0688)  6 Se 2.86-2.96
Th (0.2500, 0.3031, 0.4887)  7 Se 2.91-3.11
Th (0.2500, 0.5048, 0.1730)  7 Se 2.91-3.23
Se (0.7500, 0.3793, 0.0072)  4 Th 2.86-3.03
Se (0.7500, 0.1288, 0.4413)  2 Th 2.91, 1 Na 3.07
Se (0.2500, 0.5280, 0.4122)  4 Th 2.91-3.10
Se (0.7500, 0.9292, 0.0984)  3 Th 2.94-2.96
Se (0.2500, 0.3119, 0.7311)  3 Th 2.99-3.02, 2 Na 3.31
Se (0.2500, 0.0708, 0.9016)  3 Th 2.94-2.96
Se (0.2500, 0.6207, 0.9928)  4 Th 2.86-3.03
Se (0.7500, 0.4720, 0.5878)  4 Th 2.91-3.10
Se (0.7500, 0.6881, 0.2689)  3 Th 2.99-3.02, 2 Na 3.31
Se (0.2500, 0.2555, 0.2282)  4 Th 2.90-3.23
Se (0.2500, 0.8712, 0.5587)  2 Th 2.91, 1 Na 3.07
Se (0.7500, 0.7445, 0.7718)  4 Th 2.90-3.23
Na (0.2500, 0.9120, 0.3282)  5 Se 3.07-3.31
Na (0.7500, 0.0880, 0.6718)  5 Se 3.07-3.31